Li2W, optimized geometry, DFT PBE; SG = Cmcm, No. 63; offset from the most stable computed form = 0.12 eV/f.u.; DFT formation energy = 0.4230 eV/atom; crystal system = orthorhombic; M_tot = 0.000 μB per atom
1.0
2.667 0.000 0.000
0.000 15.955 0.000
0.000 0.000 4.550
Li W
8 4
direct
0.000 0.119 0.250
0.000 0.205 0.750
0.000 0.795 0.250
0.000 0.881 0.750
0.500 0.295 0.250
0.500 0.381 0.750
0.500 0.619 0.250
0.500 0.705 0.750
0.000 0.461 0.250
0.000 0.539 0.750
0.500 0.039 0.750
0.500 0.961 0.250

---

Ac4Pr5Y2, optimized geometry, DFT PBE; SG = C2/m, No. 12; DFT formation energy = 0.1846 eV/atom; crystal system = monoclinic; M_tot = 0.000 μB per atom
1.0
9.307 -1.831 0.000
9.307 1.831 0.000
-0.806 0.000 12.633
Ac Pr Y
4 5 2
direct
0.041 0.041 0.265
0.281 0.281 0.638
0.719 0.719 0.362
0.959 0.959 0.735
0.138 0.138 0.823
0.191 0.191 0.090
0.500 0.500 0.000
0.809 0.809 0.910
0.862 0.862 0.177
0.092 0.092 0.541
0.908 0.908 0.459

---

Ho2TlAgSe4, optimized geometry, DFT PBE; SG = Cmcm, No. 63; crystal system = orthorhombic; M_tot = 0.000 μB per atom; formation energy (no corrections) = -29.2 kcal/mol of atoms
1.0
2.081 -6.988 0.000
2.081 6.988 0.000
0.000 0.000 14.874
Ho Tl Ag Se
4 2 2 8
direct
0.130 0.870 0.569
0.130 0.870 0.931
0.870 0.130 0.069
0.870 0.130 0.431
0.377 0.623 0.750
0.623 0.377 0.250
0.334 0.666 0.250
0.666 0.334 0.750
0.051 0.949 0.750
0.234 0.766 0.101
0.234 0.766 0.399
0.500 0.500 0.000
0.500 0.500 0.500
0.766 0.234 0.601
0.766 0.234 0.899
0.949 0.051 0.250

---

PrNdTm2, optimized geometry, DFT PBE; SG = R-3m, No. 166; offset from the most stable computed form = 0.00 eV/f.u.; DFT formation energy = 0.0177 eV/atom; crystal system = trigonal; M_tot = 0.000 μB per atom
1.0
3.601 0.000 0.000
-1.801 3.119 0.000
0.000 0.000 34.788
Pr Nd Tm
3 3 6
direct
0.000 0.000 0.000
0.333 0.667 0.667
0.667 0.333 0.333
0.000 0.000 0.500
0.333 0.667 0.167
0.667 0.333 0.833
0.000 0.000 0.250
0.000 0.000 0.750
0.333 0.667 0.417
0.333 0.667 0.916
0.667 0.333 0.084
0.667 0.333 0.583

---

LaHoZn4, optimized geometry, DFT PBE; SG = Immm, No. 71; offset from the most stable computed form = 0.00 eV/f.u.; DFT formation energy = -0.3470 eV/atom; crystal system = orthorhombic; M_tot = 0.000 μB per atom
1.0
4.522 0.000 0.000
0.000 7.353 0.000
0.000 0.000 7.816
La Ho Zn
2 2 8
direct
0.000 0.000 0.000
0.500 0.500 0.500
0.000 0.500 0.000
0.500 0.000 0.500
0.000 0.239 0.334
0.000 0.239 0.666
0.000 0.761 0.334
0.000 0.761 0.666
0.500 0.261 0.166
0.500 0.261 0.834
0.500 0.739 0.166
0.500 0.739 0.834

---

LaCd2Sb, optimized geometry, DFT PBE; SG = P4/mmm, No. 123; crystal system = tetragonal; M_tot = 0.000 μB per atom; formation energy (no corrections) = -12.8 kcal/mol of atoms
1.0
4.583 0.000 0.000
0.000 4.583 0.000
0.000 0.000 5.209
La Cd Sb
1 2 1
direct
0.000 0.000 0.000
0.000 0.500 0.500
0.500 0.000 0.500
0.500 0.500 0.000

---

Pa2AgGe, optimized geometry, DFT PBE; SG = P4/mmm, No. 123; offset from the most stable computed form = 0.18 eV/f.u.; DFT formation energy = -0.0367 eV/atom; crystal system = tetragonal; M_tot = 0.455 μB per atom
1.0
3.869 0.000 0.000
0.000 3.869 0.000
0.000 0.000 6.145
Pa Ag Ge
2 1 1
direct
0.000 0.000 0.222
0.000 0.000 0.778
0.500 0.500 0.500
0.500 0.500 0.000

---

Sc3AlTl3Te8, optimized geometry, DFT PBE; SG = C2/m, No. 12; crystal system = monoclinic; M_tot = 0.000 μB per atom; formation energy (no corrections) = -17.9 kcal/mol of atoms
1.0
7.255 -4.178 0.000
7.255 4.178 0.000
-4.842 0.000 8.161
Sc Al Tl Te
3 1 3 8
direct
0.000 0.000 0.000
0.000 0.500 0.000
0.500 0.000 0.000
0.500 0.500 0.000
0.000 0.500 0.500
0.500 0.000 0.500
0.500 0.500 0.500
0.235 0.235 0.205
0.242 0.727 0.197
0.273 0.273 0.803
0.273 0.758 0.803
0.727 0.242 0.197
0.727 0.727 0.197
0.758 0.273 0.803
0.765 0.765 0.795

---

NiPIr, optimized geometry, DFT PBE; SG = F-43m, No. 216; DFT formation energy = -0.4643 eV/atom; crystal system = cubic; M_tot = 0.000 μB per atom
1.0
5.437 0.000 0.000
0.000 5.437 0.000
0.000 0.000 5.437
Ni P Ir
4 4 4
direct
0.000 0.000 0.000
0.000 0.500 0.500
0.500 0.000 0.500
0.500 0.500 0.000
0.250 0.250 0.750
0.250 0.750 0.250
0.750 0.250 0.250
0.750 0.750 0.750
0.000 0.000 0.500
0.000 0.500 0.000
0.500 0.000 0.000
0.500 0.500 0.500

---

CaSnIO6, optimized geometry, DFT PBE; SG = P-31c, No. 163; crystal system = trigonal; M_tot = 0.095 μB per atom; formation energy (no corrections) = -30.9 kcal/mol of atoms
1.0
5.435 0.000 0.000
-2.717 4.707 0.000
0.000 0.000 10.159
Ca Sn I O
2 2 2 12
direct
0.000 0.000 0.000
0.000 0.000 0.500
0.333 0.667 0.250
0.667 0.333 0.750
0.333 0.667 0.750
0.667 0.333 0.250
0.011 0.371 0.639
0.011 0.639 0.861
0.361 0.371 0.861
0.361 0.989 0.639
0.371 0.011 0.139
0.371 0.361 0.361
0.629 0.639 0.639
0.629 0.989 0.861
0.639 0.011 0.361
0.639 0.629 0.139
0.989 0.361 0.139
0.989 0.629 0.361

---

MgSn2SbPd, optimized geometry, DFT PBE; SG = P4/mmm, No. 123; crystal system = tetragonal; M_tot = 0.000 μB per atom; formation energy (no corrections) = 15.2 kcal/mol of atoms
1.0
5.293 0.000 0.000
0.000 5.293 0.000
0.000 0.000 5.258
Mg Sn Sb Pd
1 2 1 1
direct
0.000 0.000 0.000
0.000 0.500 0.000
0.500 0.000 0.000
0.000 0.000 0.500
0.500 0.500 0.500

---

BiRuAu3, optimized geometry, DFT PBE; SG = Pm-3m, No. 221; offset from the most stable computed form = 0.00 eV/f.u.; DFT formation energy = 0.9170 eV/atom; crystal system = cubic; M_tot = 0.408 μB per atom
1.0
5.033 0.000 0.000
0.000 5.033 0.000
0.000 0.000 5.033
Bi Ru Au
1 1 3
direct
0.000 0.000 0.000
0.500 0.500 0.500
0.000 0.500 0.500
0.500 0.000 0.500
0.500 0.500 0.000

---

Which value of M_tot does entry 12 give? 0.408 μB per atom

---

M_tot of number 10 (CaSnIO6)? 0.095 μB per atom

---

What is the formula in the eighth record? Sc3AlTl3Te8

---

M_tot of number 7 (Pa2AgGe)? 0.455 μB per atom